[1]
V2CdIr | GGA-PBE | relaxed

## Properties
energy relative to the elements: 401 meV/atom
spin magnetization: 0.001 μB/atom
total energy: -6.6022 eV per atom

Structure (CIF):
```
data_V2CdIr
_cell_length_a 7.2089
_cell_length_b 7.2089
_cell_length_c 5.3538
_cell_angle_alpha 90.00
_cell_angle_beta 90.00
_cell_angle_gamma 90.00
_space_group_name_H-M_alt 'I -4 2 d'
_space_group_IT_number 122
_space_group_name_Hall 'I -4 2bw'
loop_
_atom_site_label
_atom_site_type_symbol
_atom_site_fract_x
_atom_site_fract_y
_atom_site_fract_z
V1 V 0.1997 0.2500 0.1250
Cd1 Cd 0.0000 0.0000 0.5000
Ir1 Ir 0.0000 0.0000 0.0000
```

[2]
Mn2ZnBi | GGA-PBE | relaxed

## Properties
energy relative to the lowest polymorph listed for this composition: 0.315 eV per atom
energy relative to the elements: 745 meV/atom
spin magnetization: 0.000 μB/atom
total energy: -5.1283 eV per atom

Structure (CIF):
```
data_Mn2ZnBi
_cell_length_a 3.9353
_cell_length_b 3.9353
_cell_length_c 17.8890
_cell_angle_alpha 90.00
_cell_angle_beta 90.00
_cell_angle_gamma 90.00
_space_group_name_H-M_alt 'I -4 2 d'
_space_group_IT_number 122
_space_group_name_Hall 'I -4 2bw'
loop_
_atom_site_label
_atom_site_type_symbol
_atom_site_fract_x
_atom_site_fract_y
_atom_site_fract_z
Mn1 Mn 0.1420 0.2500 0.1250
Zn1 Zn 0.0000 0.0000 0.0000
Bi1 Bi 0.0000 0.0000 0.5000
```

[3]
Cs2LaCu2O4 | GGA-PBE | relaxed

## Properties
E_form (uncorrected): -1.466 eV per atom
spin magnetization: 0.117 μB/atom
total energy: -5.3172 eV per atom

Structure (CIF):
```
data_Cs2LaCu2O4
_cell_length_a 14.0067
_cell_length_b 3.6996
_cell_length_c 6.9189
_cell_angle_alpha 90.00
_cell_angle_beta 107.39
_cell_angle_gamma 90.00
_space_group_name_H-M_alt 'C 1 2/m 1'
_space_group_IT_number 12
loop_
_space_group_symop_operation_xyz
'x,y,z'
'-x,-y,-z'
'-x,y,-z'
'x,-y,z'
'x+1/2,y+1/2,z'
'-x+1/2,-y+1/2,-z'
'-x+1/2,y+1/2,-z'
'x+1/2,-y+1/2,z'
loop_
_atom_site_label
_atom_site_type_symbol
_atom_site_fract_x
_atom_site_fract_y
_atom_site_fract_z
Cs1 Cs 0.1366 0.0000 0.0665
La1 La 0.0000 0.0000 0.5000
Cu1 Cu 0.1764 0.5000 0.5001
O1 O 0.0305 0.5000 0.2985
O2 O 0.1920 0.0000 0.6136
```

[4]
MgAg2F6 | GGA-PBE | relaxed

## Properties
energy relative to the lowest polymorph listed for this composition: 0.000 eV per atom
E_form (uncorrected): -1.807 eV per atom
spin magnetization: 0.219 μB/atom
total energy: -3.8651 eV per atom

Structure (CIF):
```
data_MgAg2F6
_cell_length_a 3.2655
_cell_length_b 5.5242
_cell_length_c 13.4470
_cell_angle_alpha 90.00
_cell_angle_beta 90.00
_cell_angle_gamma 90.00
_space_group_name_H-M_alt 'I m m m'
_space_group_IT_number 71
_space_group_name_Hall '-I 2 2'
loop_
_atom_site_label
_atom_site_type_symbol
_atom_site_fract_x
_atom_site_fract_y
_atom_site_fract_z
Mg1 Mg 0.0000 0.0000 0.0000
Ag1 Ag 0.0000 0.0000 0.3445
F1 F 0.0000 0.2417 0.1594
F2 F 0.0000 0.2791 0.5000
```

[5]
LaScGa2Pd5 | GGA-PBE | relaxed

## Properties
energy relative to the elements: -701 meV/atom
spin magnetization: 0.000 μB/atom
total energy: -5.5097 eV per atom

Structure (CIF):
```
data_LaScGa2Pd5
_cell_length_a 4.2032
_cell_length_b 4.2032
_cell_length_c 9.3557
_cell_angle_alpha 90.00
_cell_angle_beta 90.00
_cell_angle_gamma 90.00
_space_group_name_H-M_alt 'P 4/m m m'
_space_group_IT_number 123
_space_group_name_Hall '-P 4 2'
loop_
_atom_site_label
_atom_site_type_symbol
_atom_site_fract_x
_atom_site_fract_y
_atom_site_fract_z
La1 La 0.0000 0.0000 0.0000
Sc1 Sc 0.0000 0.0000 0.5000
Ga1 Ga 0.5000 0.5000 0.3717
Pd1 Pd 0.0000 0.5000 0.2320
Pd2 Pd 0.5000 0.5000 0.0000
```

[6]
TbAgGe | GGA-PBE | relaxed

## Properties
energy relative to the elements: -530 meV/atom
spin magnetization: 0.000 μB/atom
total energy: -4.5627 eV per atom

Structure (CIF):
```
data_TbAgGe
_cell_length_a 4.1369
_cell_length_b 16.3651
_cell_length_c 3.8393
_cell_angle_alpha 90.00
_cell_angle_beta 90.00
_cell_angle_gamma 90.00
_space_group_name_H-M_alt 'C m c m'
_space_group_IT_number 63
_space_group_name_Hall '-C 2c 2'
loop_
_atom_site_label
_atom_site_type_symbol
_atom_site_fract_x
_atom_site_fract_y
_atom_site_fract_z
Tb1 Tb 0.0000 0.0997 0.2500
Ag1 Ag 0.0000 0.2836 0.2500
Ge1 Ge 0.0000 0.4498 0.2500
```

[7]
ThNi2Ge | GGA-PBE | relaxed

## Properties
energy relative to the lowest polymorph listed for this composition: 0.218 eV per atom
energy relative to the elements: -383 meV/atom
spin magnetization: 0.000 μB/atom
total energy: -6.2831 eV per atom

Structure (CIF):
```
data_ThNi2Ge
_cell_length_a 3.8445
_cell_length_b 6.4372
_cell_length_c 6.2134
_cell_angle_alpha 90.00
_cell_angle_beta 90.00
_cell_angle_gamma 90.00
_space_group_name_H-M_alt 'A m m 2'
_space_group_IT_number 38
loop_
_space_group_symop_operation_xyz
'x,y,z'
'-x,-y,z'
'-x,y,z'
'x,-y,z'
'x,y+1/2,z+1/2'
'-x,-y+1/2,z+1/2'
'-x,y+1/2,z+1/2'
'x,-y+1/2,z+1/2'
loop_
_atom_site_label
_atom_site_type_symbol
_atom_site_fract_x
_atom_site_fract_y
_atom_site_fract_z
Th1 Th 0.0000 0.0000 0.0000
Ni1 Ni 0.5000 0.1932 0.7337
Ge1 Ge 0.5000 0.0000 0.4210
```

[8]
V3GaSe | GGA-PBE | relaxed

## Properties
energy relative to the lowest polymorph listed for this composition: 0.000 eV per atom
E_form (uncorrected): 0.559 eV per atom
spin magnetization: 0.571 μB/atom
total energy: -6.2147 eV per atom

Structure (CIF):
```
data_V3GaSe
_cell_length_a 4.4851
_cell_length_b 4.4851
_cell_length_c 4.4851
_cell_angle_alpha 90.00
_cell_angle_beta 90.00
_cell_angle_gamma 90.00
_space_group_name_H-M_alt 'P m -3 m'
_space_group_IT_number 221
_space_group_name_Hall '-P 4 2 3'
loop_
_atom_site_label
_atom_site_type_symbol
_atom_site_fract_x
_atom_site_fract_y
_atom_site_fract_z
V1 V 0.0000 0.0000 0.5000
Ga1 Ga 0.5000 0.5000 0.5000
Se1 Se 0.0000 0.0000 0.0000
```

[9]
Mg6CdPd2 | GGA-PBE | relaxed

## Properties
energy relative to the lowest polymorph listed for this composition: 0.080 eV per atom
energy relative to the elements: -297 meV/atom
spin magnetization: 0.000 μB/atom
total energy: -2.6157 eV per atom

Structure (CIF):
```
data_Mg6CdPd2
_cell_length_a 13.2181
_cell_length_b 3.0426
_cell_length_c 10.0747
_cell_angle_alpha 90.00
_cell_angle_beta 115.36
_cell_angle_gamma 90.00
_space_group_name_H-M_alt 'C 1 2/m 1'
_space_group_IT_number 12
loop_
_space_group_symop_operation_xyz
'x,y,z'
'-x,-y,-z'
'-x,y,-z'
'x,-y,z'
'x+1/2,y+1/2,z'
'-x+1/2,-y+1/2,-z'
'-x+1/2,y+1/2,-z'
'x+1/2,-y+1/2,z'
loop_
_atom_site_label
_atom_site_type_symbol
_atom_site_fract_x
_atom_site_fract_y
_atom_site_fract_z
Mg1 Mg 0.0248 0.0000 0.2085
Mg2 Mg 0.1713 0.5000 0.0523
Mg3 Mg 0.2435 0.0000 0.6262
Cd1 Cd 0.0000 0.0000 0.5000
Pd1 Pd 0.1411 0.5000 0.7652
```

[10]
MnZn | GGA-PBE | relaxed

## Properties
energy relative to the elements: 138 meV/atom
spin magnetization: 0.681 μB/atom
total energy: -5.0842 eV per atom

Structure (CIF):
```
data_MnZn
_cell_length_a 3.3078
_cell_length_b 3.8985
_cell_length_c 7.8922
_cell_angle_alpha 90.00
_cell_angle_beta 90.00
_cell_angle_gamma 90.00
_space_group_name_H-M_alt 'C m m e'
_space_group_IT_number 67
_space_group_name_Hall '-C 2a 2'
loop_
_atom_site_label
_atom_site_type_symbol
_atom_site_fract_x
_atom_site_fract_y
_atom_site_fract_z
Mn1 Mn 0.0000 0.2500 0.1093
Zn1 Zn 0.0000 0.2500 0.6395
```

[11]
Th3Zn2Ni9 | GGA-PBE | relaxed

## Properties
energy relative to the elements: -371 meV/atom
spin magnetization: 0.000 μB/atom
total energy: -5.8592 eV per atom

Structure (CIF):
```
data_Th3Zn2Ni9
_cell_length_a 4.0004
_cell_length_b 8.8376
_cell_length_c 12.4423
_cell_angle_alpha 90.00
_cell_angle_beta 90.00
_cell_angle_gamma 90.00
_space_group_name_H-M_alt 'I m m m'
_space_group_IT_number 71
_space_group_name_Hall '-I 2 2'
loop_
_atom_site_label
_atom_site_type_symbol
_atom_site_fract_x
_atom_site_fract_y
_atom_site_fract_z
Th1 Th 0.0000 0.0000 0.0000
Th2 Th 0.0000 0.0000 0.3038
Zn1 Zn 0.0000 0.2145 0.5000
Ni1 Ni 0.0000 0.2777 0.1169
Ni2 Ni 0.0000 0.3529 0.3194
Ni3 Ni 0.0000 0.5000 0.0000
```

> What is the formula in the tenth record?

MnZn

> Among the records above, which one has the highest total energy?

Mg6CdPd2

> Which value of spin magnetization does entry 11 give?

0.000 μB/atom